Entry 1:
{
  "formula": "Dy2Zn3Cu12Au",
  "functional": "GGA-PBE",
  "state": "optimized geometry",
  "lattice": [[3.134, 1.809, 8.806], [-3.134, 1.809, 8.806], [0.000, -3.618, 8.806]],
  "species": ["Dy", "Dy", "Zn", "Zn", "Zn", "Cu", "Cu", "Cu", "Cu", "Cu", "Cu", "Cu", "Cu", "Cu", "Cu", "Cu", "Cu", "Au"],
  "fractional_positions": [[0.141, 0.141, 0.141], [0.859, 0.859, 0.859], [0.000, 0.500, 0.500], [0.500, 0.000, 0.500], [0.500, 0.500, 0.000], [0.058, 0.623, 0.623], [0.082, 0.082, 0.701], [0.082, 0.701, 0.082], [0.299, 0.918, 0.918], [0.377, 0.377, 0.942], [0.377, 0.942, 0.377], [0.623, 0.058, 0.623], [0.623, 0.623, 0.058], [0.701, 0.082, 0.082], [0.918, 0.299, 0.918], [0.918, 0.918, 0.299], [0.942, 0.377, 0.377], [0.500, 0.500, 0.500]],
  "rho_g_cm3": 8.21,
  "total_magnetization_mub_per_fu": 0.000,
  "e_form_mev_per_atom": 89
}

=====

Entry 2:
{
  "formula": "Sr2W",
  "functional": "GGA-PBE",
  "state": "optimized geometry",
  "lattice": [[8.023, 0.000, 0.000], [0.000, 8.135, 0.000], [0.000, 0.000, 3.203]],
  "species": ["Sr", "Sr", "Sr", "Sr", "W", "W"],
  "fractional_positions": [[0.211, 0.185, 0.000], [0.289, 0.685, 0.500], [0.711, 0.315, 0.500], [0.789, 0.815, 0.000], [0.000, 0.500, 0.000], [0.500, 0.000, 0.500]],
  "rho_g_cm3": 5.70,
  "total_magnetization_mub_per_fu": 0.960,
  "e_form_mev_per_atom": 1393
}

=====

Entry 3:
{
  "formula": "PmLu2Sn",
  "functional": "GGA-PBE",
  "state": "optimized geometry",
  "lattice": [[3.698, 0.000, 0.000], [0.000, 3.698, 0.000], [0.000, 0.000, 8.491]],
  "species": ["Pm", "Lu", "Lu", "Sn"],
  "fractional_positions": [[0.000, 0.000, 0.000], [0.500, 0.500, 0.283], [0.500, 0.500, 0.717], [0.000, 0.000, 0.500]],
  "rho_g_cm3": 8.78,
  "total_magnetization_mub_per_fu": 0.003,
  "e_form_mev_per_atom": -286
}

=====

Entry 4:
{
  "formula": "Sc2TlSn",
  "functional": "GGA-PBE",
  "state": "optimized geometry",
  "lattice": [[4.438, 0.000, 0.000], [-2.219, 3.843, 0.000], [0.000, 0.000, 19.052]],
  "species": ["Sc", "Sc", "Sc", "Sc", "Sc", "Sc", "Tl", "Tl", "Tl", "Sn", "Sn", "Sn"],
  "fractional_positions": [[0.000, 0.000, 0.000], [0.000, 0.000, 0.187], [0.333, 0.667, 0.667], [0.333, 0.667, 0.854], [0.667, 0.333, 0.333], [0.667, 0.333, 0.520], [0.000, 0.000, 0.764], [0.333, 0.667, 0.430], [0.667, 0.333, 0.097], [0.000, 0.000, 0.595], [0.333, 0.667, 0.261], [0.667, 0.333, 0.928]],
  "rho_g_cm3": 6.33,
  "total_magnetization_mub_per_fu": 0.000,
  "e_form_mev_per_atom": -237
}

=====

Entry 5:
{
  "formula": "Ho8Hg4CSe3",
  "functional": "GGA-PBE",
  "state": "optimized geometry",
  "lattice": [[6.763, -3.899, 0.000], [6.763, 3.899, 0.000], [-4.520, 0.000, 7.577]],
  "species": ["Ho", "Ho", "Ho", "Ho", "Ho", "Ho", "Ho", "Ho", "Hg", "Hg", "Hg", "Hg", "C", "Se", "Se", "Se"],
  "fractional_positions": [[0.216, 0.216, 0.703], [0.216, 0.771, 0.703], [0.229, 0.784, 0.297], [0.258, 0.258, 0.275], [0.742, 0.742, 0.725], [0.771, 0.216, 0.703], [0.784, 0.229, 0.297], [0.784, 0.784, 0.297], [0.000, 0.000, 0.000], [0.000, 0.500, 0.000], [0.500, 0.000, 0.000], [0.500, 0.500, 0.000], [0.000, 0.000, 0.500], [0.000, 0.500, 0.500], [0.500, 0.000, 0.500], [0.500, 0.500, 0.500]],
  "formation_energy_uncorrected_ev_per_atom": -0.915,
  "rho_g_cm3": 9.85,
  "total_magnetization_mub_per_fu": 0.000
}

=====

Entry 6:
{
  "formula": "AcTbH8Rh2",
  "functional": "GGA-PBE",
  "state": "optimized geometry",
  "lattice": [[2.479, 1.431, 6.277], [-2.479, 1.431, 6.277], [0.000, -2.862, 6.277]],
  "species": ["Ac", "Tb", "H", "H", "H", "H", "H", "H", "H", "H", "Rh", "Rh"],
  "fractional_positions": [[0.000, 0.000, 0.000], [0.500, 0.500, 0.500], [0.056, 0.399, 0.878], [0.122, 0.944, 0.601], [0.314, 0.314, 0.314], [0.399, 0.878, 0.056], [0.601, 0.122, 0.944], [0.686, 0.686, 0.686], [0.878, 0.056, 0.399], [0.944, 0.601, 0.122], [0.228, 0.228, 0.228], [0.772, 0.772, 0.772]],
  "dft_energy_ev_per_atom": -4.508,
  "rho_g_cm3": 7.46,
  "total_magnetization_mub_per_fu": 0.000
}

=====

Entry 7:
{
  "formula": "TlCuRe2",
  "functional": "GGA-PBE",
  "state": "optimized geometry",
  "lattice": [[3.080, 0.000, 0.000], [0.000, 4.606, 0.000], [0.000, 0.000, 9.282]],
  "species": ["Tl", "Tl", "Cu", "Cu", "Re", "Re", "Re", "Re"],
  "fractional_positions": [[0.000, 0.000, 0.000], [0.500, 0.500, 0.000], [0.000, 0.000, 0.500], [0.500, 0.500, 0.500], [0.000, 0.500, 0.274], [0.000, 0.500, 0.726], [0.500, 0.000, 0.274], [0.500, 0.000, 0.726]],
  "rho_g_cm3": 16.15,
  "total_magnetization_mub_per_fu": 0.000,
  "e_form_mev_per_atom": 963
}

=====

Entry 8:
{
  "formula": "ErPu2Ir3",
  "functional": "GGA-PBE",
  "state": "optimized geometry",
  "lattice": [[3.963, 0.000, 0.000], [0.000, 5.605, 0.000], [0.000, 0.000, 11.934]],
  "species": ["Er", "Er", "Pu", "Pu", "Pu", "Pu", "Ir", "Ir", "Ir", "Ir", "Ir", "Ir"],
  "fractional_positions": [[0.000, 0.000, 0.000], [0.500, 0.500, 0.500], [0.000, 0.000, 0.338], [0.000, 0.000, 0.662], [0.500, 0.500, 0.162], [0.500, 0.500, 0.838], [0.000, 0.500, 0.000], [0.000, 0.500, 0.321], [0.000, 0.500, 0.679], [0.500, 0.000, 0.179], [0.500, 0.000, 0.500], [0.500, 0.000, 0.821]],
  "rho_g_cm3": 15.44,
  "total_magnetization_mub_per_fu": 8.783,
  "e_form_mev_per_atom": -423
}